Li3VH | PBE | optimized geometry

Summary:
Distance to the lowest polymorph of the same formula in meV per atom: 935
DFT total energy in eV/atom: -2.34
V in Å³ per atom: 27.9
Spin magnetization in μB per formula unit: 5.0

Cell and atoms, written as POSCAR:
```
Li3VH
1.0
5.189 0.000 0.000
0.000 5.189 0.000
0.000 0.000 5.189
Li V H
3 1 1
direct
0.000 0.000 0.500
0.000 0.500 0.000
0.500 0.000 0.000
0.000 0.000 0.000
0.500 0.500 0.500
```